4
Lattice="-1.668 -4.662 2.648 -0.551 -0.010 5.588 -5.109 -0.237 2.317" Properties=species:S:1:pos:R:3 comment="KAl2Br GGA-PBE optimized geometry" de_polymorph_ev_per_atom=0.728 dos_at_fermi_per_ev_cell=5.85 volume_a3_per_fu=125 crystal_system=cubic pbc="T T T"
Al -1.832 -1.227 2.638
Al -5.496 -3.682 7.914
Br -3.664 -2.454 5.276
K 0.000 0.000 0.000